No. 1
# ZrAl2P, relaxed, DFT GGA-PBE
data_ZrAl2P
_chemical_formula_sum 'Zr1 Al2 P1'
_symmetry_space_group_name_H-M 'P 1'
_symmetry_Int_Tables_number 1
_cell_length_a 4.5714
_cell_length_b 2.9344
_cell_length_c 5.1655
_cell_angle_alpha 89.97
_cell_angle_beta 90.00
_cell_angle_gamma 90.00
loop_
_symmetry_equiv_pos_as_xyz
'x,y,z'
loop_
_atom_site_label
_atom_site_fract_x
_atom_site_fract_y
_atom_site_fract_z
_atom_site_occupancy
Al1 0.0000 0.2498 0.9940 1
P1 0.0000 0.2496 0.5138 1
Al2 0.5000 0.2501 0.2460 1
Zr1 0.5000 0.7505 0.7463 1
# - Energy relative to the elements: -0.341 eV per atom

=====

No. 2
# Ca6SnRh2, relaxed, DFT GGA-PBE
data_Ca6SnRh2
_chemical_formula_sum 'Ca12 Sn2 Rh4'
_symmetry_space_group_name_H-M 'P 1'
_symmetry_Int_Tables_number 1
_cell_length_a 8.7156
_cell_length_b 8.7156
_cell_length_c 8.7156
_cell_angle_alpha 103.33
_cell_angle_beta 112.37
_cell_angle_gamma 112.88
loop_
_symmetry_equiv_pos_as_xyz
'x,y,z'
loop_
_atom_site_label
_atom_site_fract_x
_atom_site_fract_y
_atom_site_fract_z
_atom_site_occupancy
Ca1 0.7981 0.5568 0.7587 1
Ca2 0.3146 0.3337 0.6482 1
Ca3 0.2019 0.9605 0.7587 1
Ca4 0.2019 0.4432 0.2413 1
Ca5 0.3146 0.6663 0.9809 1
Ca6 0.7981 0.0395 0.2413 1
Rh1 0.5000 0.8758 0.3758 1
Rh2 0.6609 0.6609 0.0000 1
Rh3 0.3391 0.3391 0.0000 1
Rh4 0.5000 0.1242 0.6242 1
Ca7 0.5309 0.8192 0.7117 1
Ca8 0.4691 0.1808 0.2883 1
Sn1 0.0000 0.5000 0.5000 1
Ca9 0.1076 0.8192 0.2883 1
Ca10 0.6854 0.3337 0.0191 1
Ca11 0.6854 0.6663 0.3518 1
Sn2 0.0000 0.0000 0.0000 1
Ca12 0.8924 0.1808 0.7117 1
# - Energy relative to the elements: -0.432 eV per atom

=====

No. 3
# CeDy3Y4, relaxed, DFT GGA-PBE
data_CeDy3Y4
_chemical_formula_sum 'Ce1 Dy3 Y4'
_symmetry_space_group_name_H-M 'P 1'
_symmetry_Int_Tables_number 1
_cell_length_a 3.4357
_cell_length_b 6.7324
_cell_length_c 11.8607
_cell_angle_alpha 106.56
_cell_angle_beta 98.33
_cell_angle_gamma 90.00
loop_
_symmetry_equiv_pos_as_xyz
'x,y,z'
loop_
_atom_site_label
_atom_site_fract_x
_atom_site_fract_y
_atom_site_fract_z
_atom_site_occupancy
Y1 0.8756 0.6326 0.7511 1
Dy1 0.8761 0.1181 0.7522 1
Dy2 0.1239 0.8819 0.2478 1
Y2 0.2590 0.7607 0.5180 1
Ce1 0.5000 0.0000 0.0000 1
Y3 0.7410 0.2393 0.4820 1
Y4 0.1244 0.3674 0.2489 1
Dy3 0.0000 0.5000 0.0000 1
# - Energy relative to the elements: 0.192 eV per atom

=====

No. 4
# LaPm2Zn6, relaxed, DFT GGA-PBE
data_LaPm2Zn6
_chemical_formula_sum 'La1 Pm2 Zn6'
_symmetry_space_group_name_H-M 'P 1'
_symmetry_Int_Tables_number 1
_cell_length_a 7.9476
_cell_length_b 7.9476
_cell_length_c 3.6223
_cell_angle_alpha 90.02
_cell_angle_beta 90.02
_cell_angle_gamma 60.00
loop_
_symmetry_equiv_pos_as_xyz
'x,y,z'
loop_
_atom_site_label
_atom_site_fract_x
_atom_site_fract_y
_atom_site_fract_z
_atom_site_occupancy
Zn1 0.3365 0.0001 0.4998 1
Zn2 0.9999 0.6635 0.5002 1
Zn3 0.6635 0.9999 0.5002 1
Zn4 0.6636 0.3364 0.5000 1
Pm1 0.6666 0.6666 0.0002 1
La1 0.0000 0.0000 0.0000 1
Zn5 0.0001 0.3365 0.4998 1
Pm2 0.3334 0.3334 0.9998 1
Zn6 0.3364 0.6636 0.5000 1
# - Energy relative to the elements: -0.354 eV per atom

=====

No. 5
# V2Ga2S7, relaxed, DFT GGA-PBE
data_V2Ga2S7
_chemical_formula_sum 'V2 Ga2 S7'
_symmetry_space_group_name_H-M 'P 1'
_symmetry_Int_Tables_number 1
_cell_length_a 6.6164
_cell_length_b 6.2576
_cell_length_c 6.2576
_cell_angle_alpha 108.89
_cell_angle_beta 100.45
_cell_angle_gamma 100.45
loop_
_symmetry_equiv_pos_as_xyz
'x,y,z'
loop_
_atom_site_label
_atom_site_fract_x
_atom_site_fract_y
_atom_site_fract_z
_atom_site_occupancy
Ga1 0.3441 0.2330 0.2330 1
V1 0.0000 0.3414 0.6586 1
V2 0.0000 0.6586 0.3414 1
S1 0.1932 0.4599 0.0754 1
Ga2 0.6559 0.7670 0.7670 1
S2 0.2497 0.6234 0.6234 1
S3 0.8068 0.9246 0.5401 1
S4 0.7503 0.3766 0.3766 1
S5 0.1932 0.0754 0.4599 1
S6 0.5000 0.0000 0.0000 1
S7 0.8068 0.5401 0.9246 1
# - Formation energy from raw total energies: -0.483 eV per atom

=====

No. 6
# LiTa2Al, relaxed, DFT GGA-PBE
data_LiTa2Al
_chemical_formula_sum 'Li1 Ta2 Al1'
_symmetry_space_group_name_H-M 'P 1'
_symmetry_Int_Tables_number 1
_cell_length_a 4.9667
_cell_length_b 4.9667
_cell_length_c 4.9667
_cell_angle_alpha 132.38
_cell_angle_beta 132.38
_cell_angle_gamma 69.62
loop_
_symmetry_equiv_pos_as_xyz
'x,y,z'
loop_
_atom_site_label
_atom_site_fract_x
_atom_site_fract_y
_atom_site_fract_z
_atom_site_occupancy
Ta1 0.0000 0.0000 0.0000 1
Ta2 0.5000 0.5000 0.0000 1
Li1 0.7500 0.2500 0.5000 1
Al1 0.2500 0.7500 0.5000 1
# - Energy relative to the elements: 0.122 eV per atom
# - E above lowest polymorph: 0.36 eV/f.u.

=====

No. 7
# HoPCl, relaxed, DFT GGA-PBE
data_HoPCl
_chemical_formula_sum 'Ho2 P2 Cl2'
_symmetry_space_group_name_H-M 'P 1'
_symmetry_Int_Tables_number 1
_cell_length_a 3.8055
_cell_length_b 3.8055
_cell_length_c 11.0523
_cell_angle_alpha 93.94
_cell_angle_beta 93.94
_cell_angle_gamma 87.44
loop_
_symmetry_equiv_pos_as_xyz
'x,y,z'
loop_
_atom_site_label
_atom_site_fract_x
_atom_site_fract_y
_atom_site_fract_z
_atom_site_occupancy
P1 0.5944 0.5944 0.9153 1
Cl1 0.2298 0.2298 0.3460 1
Ho1 0.1062 0.1062 0.8282 1
Cl2 0.7702 0.7702 0.6540 1
Ho2 0.8938 0.8938 0.1718 1
P2 0.4056 0.4056 0.0847 1
# - Formation energy from raw total energies: -1.455 eV per atom

=====

No. 8
# Tl5Zn3, relaxed, DFT GGA-PBE
data_Tl5Zn3
_chemical_formula_sum 'Tl5 Zn3'
_symmetry_space_group_name_H-M 'P 1'
_symmetry_Int_Tables_number 1
_cell_length_a 6.8125
_cell_length_b 6.8125
_cell_length_c 4.5525
_cell_angle_alpha 90.00
_cell_angle_beta 90.00
_cell_angle_gamma 99.49
loop_
_symmetry_equiv_pos_as_xyz
'x,y,z'
loop_
_atom_site_label
_atom_site_fract_x
_atom_site_fract_y
_atom_site_fract_z
_atom_site_occupancy
Tl1 0.0000 0.0000 0.0000 1
Tl2 0.7117 0.7117 0.5000 1
Tl3 0.2883 0.2883 0.5000 1
Zn1 0.5000 0.5000 0.0000 1
Zn2 0.7640 0.2360 0.5000 1
Tl4 0.0000 0.5000 0.0000 1
Zn3 0.2360 0.7640 0.5000 1
Tl5 0.5000 0.0000 0.0000 1
# - Energy relative to the elements: 0.164 eV per atom
# - E above lowest polymorph: 0.25 eV/f.u.

=====

Number 1: DFT total energy -5.701 eV per atom, total moment 0.00 Bohr magnetons per cell. Number 2: DFT total energy -3.845 eV per atom, total moment 1.11 Bohr magnetons per cell. Number 3: DFT total energy -5.508 eV per atom, total moment 0.90 Bohr magnetons per cell. Number 4: DFT total energy -2.806 eV per atom, total moment 0.00 Bohr magnetons per cell. Number 5: DFT total energy -5.318 eV per atom, total moment 1.99 Bohr magnetons per cell. Number 6: DFT total energy -7.218 eV per atom, total moment 0.00 Bohr magnetons per cell. Number 7: DFT total energy -5.399 eV per atom, total moment 0.00 Bohr magnetons per cell. Number 8: DFT total energy -1.792 eV per atom, total moment 0.00 Bohr magnetons per cell.